Record 1
A relaxed ScTl2TcPd crystal, computed with PBE.

Output
D(E_F)   3.6 states/eV per cell
Crystal system   tetragonal
Energy of formation from the pure elements   0.52 eV/atom

The structure in POSCAR format:
```
ScTl2TcPd
1.0
5.2670 0.0000 0.0000
0.0000 5.2670 0.0000
0.0000 0.0000 4.7322
Sc Tl Tc Pd
1 2 1 1
Direct
0.0000 0.0000 0.0000
0.0000 0.5000 0.5000
0.5000 0.0000 0.5000
0.0000 0.0000 0.5000
0.5000 0.5000 0.0000
```


Record 2
A relaxed ScVTcPd crystal, computed with PBE.

Output
D(E_F)   3.5 states/eV per cell
Crystal system   cubic
Energy of formation from the pure elements   -0.31 eV/atom

The structure in POSCAR format:
```
ScVTcPd
1.0
0.0000 3.1526 3.1526
3.1526 0.0000 3.1526
3.1526 3.1526 0.0000
Sc V Tc Pd
1 1 1 1
Direct
0.0000 0.0000 0.0000
0.5000 0.5000 0.5000
0.7500 0.7500 0.7500
0.2500 0.2500 0.2500
```


Record 3
A relaxed YScTcPd crystal, computed with PBE.

Output
D(E_F)   3.4 states/eV per cell
Crystal system   cubic
Energy of formation from the pure elements   -0.41 eV/atom

The structure in POSCAR format:
```
YScTcPd
1.0
0.0000 3.3646 3.3646
3.3646 0.0000 3.3646
3.3646 3.3646 0.0000
Y Sc Tc Pd
1 1 1 1
Direct
0.0000 0.0000 0.0000
0.5000 0.5000 0.5000
0.7500 0.7500 0.7500
0.2500 0.2500 0.2500
```


Record 4
A relaxed ScTe2Pd9 crystal, computed with PBE.

Output
E_form (uncorrected)   -4.783 eV/f.u.
D(E_F)   10.1 states/eV per cell
Crystal system   tetragonal

The structure in POSCAR format:
```
ScTe2Pd9
1.0
4.0560 0.0000 0.0000
0.0000 4.0560 0.0000
0.0000 0.0000 12.2381
Sc Te Pd
1 2 9
Direct
0.0000 0.0000 0.0000
0.0000 0.0000 0.3314
0.0000 0.0000 0.6686
0.0000 0.5000 0.1612
0.0000 0.5000 0.5000
0.0000 0.5000 0.8388
0.5000 0.0000 0.1612
0.5000 0.0000 0.5000
0.5000 0.0000 0.8388
0.5000 0.5000 0.0000
0.5000 0.5000 0.3317
0.5000 0.5000 0.6683
```


The records above give, respectively, volume values of 131.28 62.67 76.18 201.33 Å³ per cell.
The records above give, respectively, size of the total moment values of 0.000 0.219 0.000 0.000 μB per atom.
The records above give, respectively, total energy values of -4.8026 -8.0666 -7.4970 -5.3444 eV/atom.